DFT (PBE-GGA) results for a geometry-optimized MgTi2 structure.

Output
* DFT formation energy: 54 meV per atom
* space-group type: No. 12
* energy: -34.4 eV for the cell shown
* calculated density: 3.55 g cm⁻³
* crystal system: monoclinic
* D(E_F): 4.78 states/eV/cell
* magnetization: 0.0 μB/f.u.

Cell: 5.635 5.635 7.405 Å, 75.59 75.59 29.63°
Positions (direct):
Ti: 0.694 0.694 0.869
Ti: 0.960 0.960 0.840
Ti: 0.306 0.306 0.131
Ti: 0.040 0.040 0.160
Mg: 0.367 0.367 0.517
Mg: 0.633 0.633 0.483